--- w ---
Ho5Tm3Sc | Alexandria via LeMat-Bulk | GGA-PBE | optimized geometry; size of the total moment = 0.000 Bohr magnetons per cell
1.0
-8.837 -0.945 1.189
1.518 -5.204 7.142
3.611 8.691 -0.063
Ho Tm Sc
10 6 2
Cartesian
2.929 3.384 4.079
-3.000 4.882 1.959
1.262 5.889 0.631
-1.333 2.377 5.408
-6.637 -0.842 4.189
-0.708 -2.340 6.310
-4.970 -3.347 7.638
-2.375 0.165 2.861
-3.659 -3.075 4.166
0.000 0.000 0.000
-5.237 -1.160 1.526
-2.082 -4.989 6.805
-6.920 -4.023 5.426
-0.399 -2.126 2.905
-0.024 2.808 2.052
-3.684 -0.266 6.217
-4.443 2.336 2.646
0.735 0.206 5.623

--- x ---
Ho5Tm3Sc | Alexandria via LeMat-Bulk | GGA-PBE | optimized geometry; size of the total moment = 0.000 Bohr magnetons per cell
1.0
8.516 0.000 0.000
-4.258 6.920 -5.182
0.000 -3.066 11.731
Ho Tm Sc
10 6 2
Cartesian
2.555 -2.300 8.799
2.620 0.742 7.416
4.989 2.795 -1.712
1.638 3.112 -0.867
0.731 2.592 2.396
5.960 -0.767 2.933
5.896 2.275 1.550
-1.638 1.578 4.999
3.527 1.262 4.154
-0.731 1.059 8.261
0.000 0.000 0.000
3.133 0.576 0.891
0.000 -1.533 5.866
1.124 3.277 5.659
5.382 -0.957 6.757
-1.124 4.811 -0.207
7.623 -2.300 8.799
0.892 -0.767 2.933

The data favor x; the next most stable structure lies 144 meV per atom above it.

--- w ---
HoTm2Sc4 | Alexandria via LeMat-Bulk | GGA-PBE | optimized geometry; size of the total moment = 0.001 Bohr magnetons per cell
1.0
-2.741 -0.866 -1.730
0.030 -6.826 3.370
-4.383 2.411 5.739
Ho Tm Sc
1 2 4
Cartesian
-3.547 -2.641 3.690
-0.837 -5.011 3.836
-3.516 0.596 5.273
-3.353 -3.401 7.017
-1.000 -1.014 2.092
-3.562 0.772 2.005
-1.356 -3.846 0.820

--- x ---
HoTm2Sc4 | Alexandria via LeMat-Bulk | GGA-PBE | optimized geometry; size of the total moment = 0.001 Bohr magnetons per cell
1.0
5.217 0.000 0.000
0.000 3.570 0.000
0.000 -1.785 10.443
Ho Tm Sc
1 2 4
Cartesian
0.000 1.785 0.000
2.608 0.000 1.534
2.608 1.785 8.909
2.608 1.785 4.111
0.000 1.785 6.706
2.608 0.000 6.332
0.000 0.000 3.737

The data favor x; the next most stable structure lies 7 meV per atom above it.

--- w ---
Ho3Tm7Sc2 | Alexandria via LeMat-Bulk | GGA-PBE | optimized geometry; size of the total moment = 0.000 Bohr magnetons per cell
1.0
-3.344 0.998 0.314
-1.209 -4.824 2.455
4.349 9.804 15.141
Ho Tm Sc
3 7 2
Cartesian
-2.276 -1.913 1.385
-0.897 0.810 7.415
0.693 5.168 10.496
3.037 5.995 13.276
1.419 1.581 10.070
0.000 0.000 0.000
0.103 -1.015 4.320
-1.123 1.583 2.557
0.919 4.395 15.353
1.722 3.399 7.526
2.036 2.800 12.769
1.105 2.180 4.828

--- x ---
Ho3Tm7Sc2 | Alexandria via LeMat-Bulk | GGA-PBE | optimized geometry; size of the total moment = 0.000 Bohr magnetons per cell
1.0
-2.636 -0.413 -2.328
-1.087 -4.833 2.087
-11.292 8.577 13.977
Ho Tm Sc
3 7 2
Cartesian
-1.861 -2.623 -0.120
-9.663 5.339 7.329
-4.265 2.825 4.320
-7.749 2.367 8.367
-7.265 0.964 5.369
-10.372 6.890 10.550
0.000 0.000 0.000
-3.555 1.274 1.098
-2.269 -1.275 2.787
-12.745 4.606 10.949
-9.682 3.657 10.346
-5.332 -0.326 3.390

The data favor w; the next most stable structure lies 119 meV per atom above it.

--- w ---
HoTm2Sc3 | Alexandria via LeMat-Bulk | GGA-PBE | optimized geometry; size of the total moment = 0.000 Bohr magnetons per cell
1.0
-2.452 1.879 1.452
-2.868 -4.937 1.546
9.088 1.347 13.603
Ho Tm Sc
2 4 6
Cartesian
5.447 -1.015 12.515
-1.678 -0.697 4.086
1.780 -2.560 8.324
1.989 0.848 8.277
5.657 2.397 12.469
-1.889 -4.108 4.133
2.390 -0.849 11.152
1.378 -0.863 5.449
-1.286 -2.395 6.944
5.055 0.684 9.657
7.758 0.586 14.348
-3.989 -2.297 2.254

--- x ---
HoTm2Sc3 | Alexandria via LeMat-Bulk | GGA-PBE | optimized geometry; size of the total moment = 0.000 Bohr magnetons per cell
1.0
5.877 0.000 -0.014
2.938 5.089 -0.007
1.988 0.000 10.932
Ho Tm Sc
2 4 6
Cartesian
5.877 3.392 -0.014
2.938 1.696 -0.007
0.000 0.000 0.000
3.933 0.000 5.459
3.933 3.393 5.459
6.871 1.696 5.452
5.900 3.393 8.184
1.965 0.000 2.735
4.904 1.696 2.728
7.842 3.393 2.721
2.961 1.696 8.190
5.900 0.000 8.183

The data favor w; the next most stable structure lies 7 meV per atom above it.